(1)
DFT (PBE) results for a geometry-optimized ScTl2Pt structure.

Cell: 4.933 4.933 4.933 Å, 60.00 60.00 60.00°
Atoms (fractional coordinates):
Sc  0.000  0.000  0.000
Tl  0.500  0.500  0.500
Tl  0.750  0.750  0.750
Pt  0.250  0.250  0.250

Its calculated total energy is -18.066 eV/cell. Its space-group type is No. 216. The value obtained for the magnetization is 0.01 μB/cell.



(2)
DFT (PBE) results for a geometry-optimized AlZnIr structure.

Cell: 4.096 4.096 4.096 Å, 60.00 60.00 60.00°
Atoms (fractional coordinates):
Al  0.000  0.000  0.000
Zn  0.250  0.250  0.250
Ir  0.750  0.750  0.750

Its calculated total energy is -14.438 eV/cell. Its space-group type is No. 216. The value obtained for the magnetization is 0.00 μB/cell.



(3)
DFT (PBE) results for a geometry-optimized ZrScAsO structure.

Cell: 4.067 4.067 8.419 Å, 90.00 90.00 90.00°
Atoms (fractional coordinates):
Zr  0.250  0.750  0.000
Zr  0.750  0.250  0.000
Sc  0.250  0.250  0.404
Sc  0.750  0.750  0.596
As  0.250  0.250  0.788
As  0.750  0.750  0.212
O  0.250  0.750  0.500
O  0.750  0.250  0.500

Its calculated total energy is -62.717 eV/cell. Its space-group type is No. 129. The value obtained for the magnetization is 0.02 μB/cell.



(4)
DFT (PBE) results for a geometry-optimized BeInCuAg structure.

Cell: 4.407 4.407 4.407 Å, 60.00 60.00 60.00°
Atoms (fractional coordinates):
Be  0.000  0.000  0.000
In  0.250  0.250  0.250
Cu  0.500  0.500  0.500
Ag  0.750  0.750  0.750

Its calculated total energy is -12.156 eV/cell. Its space-group type is No. 216.



(5)
DFT (PBE) results for a geometry-optimized CuSbPb structure.

Cell: 4.583 4.583 7.133 Å, 90.00 90.00 90.00°
Atoms (fractional coordinates):
Cu  0.250  0.750  0.000
Cu  0.750  0.250  0.000
Sb  0.250  0.250  0.217
Sb  0.750  0.750  0.783
Pb  0.250  0.250  0.696
Pb  0.750  0.750  0.304

Its calculated total energy is -22.625 eV/cell. Its space-group type is No. 129.



(6)
DFT (PBE) results for a geometry-optimized CdSnTeO structure.

Cell: 4.159 4.159 10.437 Å, 90.00 90.00 90.00°
Atoms (fractional coordinates):
Cd  0.250  0.250  0.113
Cd  0.750  0.750  0.887
Sn  0.250  0.250  0.405
Sn  0.750  0.750  0.595
Te  0.250  0.250  0.835
Te  0.750  0.750  0.165
O  0.250  0.750  0.500
O  0.750  0.250  0.500

Its calculated total energy is -31.790 eV/cell. Its space-group type is No. 129.



Question: The highest calculated total energy belongs to which entry?
Answer: BeInCuAg



Question: Look up the calculated total energy of the fourth one.
Answer: -12.156 eV/cell



Question: Which of these has the highest calculated total energy?
Answer: BeInCuAg



Question: calculated total energy of number 2 (AlZnIr)?
Answer: -14.438 eV/cell